(1)
Here is an optimized crystal structure of PaGe2Au3 from Alexandria via LeMat-Bulk. Energies are from PBE.

Calculated values
ΔH_f (0 K)	-1.5	eV per formula unit

Structure (CIF):
```
data_PaGe2Au3
_chemical_formula_sum 'Pa2 Ge4 Au6'
_cell_length_a 4.651
_cell_length_b 7.215
_cell_length_c 8.222
_cell_angle_alpha 114.09
_cell_angle_beta 104.41
_cell_angle_gamma 93.23
_space_group_name_H-M_alt 'P -1'
_space_group_IT_number 2
_space_group_name_Hall '-P 1'
loop_
_atom_site_label
_atom_site_fract_x
_atom_site_fract_y
_atom_site_fract_z
Pa1 0.141 0.194 0.279
Ge1 0.225 0.666 0.405
Ge2 0.406 0.846 0.028
Au1 0.089 0.307 0.921
Au2 0.310 0.051 0.622
Au3 0.345 0.515 0.715
```



(2)
Here is an optimized crystal structure of Pa4Ge8Au from Alexandria via LeMat-Bulk. Energies are from PBE.

Calculated values
ΔH_f (0 K)	-4.5	eV per formula unit

Structure (CIF):
```
data_Pa4Ge8Au
_chemical_formula_sum 'Pa4 Ge8 Au1'
_cell_length_a 4.028
_cell_length_b 4.101
_cell_length_c 16.713
_cell_angle_alpha 90.00
_cell_angle_beta 90.00
_cell_angle_gamma 90.00
_space_group_name_H-M_alt 'P m m 2'
_space_group_IT_number 25
_space_group_name_Hall 'P 2 -2'
loop_
_atom_site_label
_atom_site_fract_x
_atom_site_fract_y
_atom_site_fract_z
Pa1 0.000 0.000 0.000
Pa2 0.000 0.500 0.469
Pa3 0.500 0.000 0.798
Pa4 0.500 0.500 0.272
Ge1 0.000 0.000 0.316
Ge2 0.000 0.000 0.605
Ge3 0.000 0.500 0.137
Ge4 0.000 0.500 0.862
Ge5 0.500 0.000 0.137
Ge6 0.500 0.000 0.424
Ge7 0.500 0.500 0.605
Ge8 0.500 0.500 0.963
Au1 0.000 0.500 0.708
```



(3)
Here is an optimized crystal structure of PaGePdAu from Alexandria via LeMat-Bulk. Energies are from PBE.

Calculated values
ΔH_f (0 K)	-1.4	eV per formula unit

Structure (CIF):
```
data_PaGePdAu
_chemical_formula_sum 'Pa4 Ge4 Pd4 Au4'
_cell_length_a 6.794
_cell_length_b 6.794
_cell_length_c 6.794
_cell_angle_alpha 90.00
_cell_angle_beta 90.00
_cell_angle_gamma 90.00
_space_group_name_H-M_alt 'F -4 3 m'
_space_group_IT_number 216
_space_group_name_Hall 'F -4 2 3'
loop_
_atom_site_label
_atom_site_fract_x
_atom_site_fract_y
_atom_site_fract_z
Pa1 0.000 0.000 0.000
Ge1 0.250 0.250 0.750
Pd1 0.250 0.250 0.250
Au1 0.000 0.000 0.500
```



The calculation returns the following magnetization values, one per record and in order: 0.00, 0.94, 0.33 μB/f.u..
The calculation returns the following E values, one per record and in order: -5.0075, -6.3583, -5.9882 eV per atom.